Material: Lu12Tc3H5
Method: DFT, PBE
State: optimized geometry Values from VASP.

Results
**Space-group type**: Ia-3d
**Energy**: -5.34 eV/atom
**Density of states at the Fermi level**: 0.638 states/eV per atom

The structure in Quantum ESPRESSO input format:
```
&SYSTEM
  ibrav = 0, nat = 80, ntyp = 3
/
ATOMIC_SPECIES
Tc 98.00 Tc.upf
H 1.01 H.upf
Lu 174.97 Lu.upf
CELL_PARAMETERS angstrom
12.783 0.000 0.000
-4.261 12.052 0.000
-4.261 -6.026 10.437
ATOMIC_POSITIONS angstrom
Tc -3.196 2.260 9.133
Tc -3.196 -2.260 9.133
Tc 3.196 0.000 7.828
Tc -5.326 6.026 7.828
Tc 5.326 0.753 3.914
Tc 1.065 6.026 2.609
Tc 3.196 6.779 6.523
Tc 7.457 8.286 1.305
Tc 9.587 0.000 2.609
Tc -1.065 5.273 6.523
Tc 1.065 -0.753 3.914
Tc 7.457 3.766 1.305
H -1.065 0.753 6.523
H 5.326 5.273 3.914
H 1.065 3.766 9.133
H -3.196 6.779 3.914
H 3.196 2.260 1.305
H 0.000 0.000 0.000
H -2.131 6.026 0.000
H -4.261 3.013 5.219
H 1.065 -3.013 7.828
H -1.065 9.792 1.305
H 4.261 6.026 0.000
H -2.131 -3.013 5.219
H 6.392 0.000 0.000
H 3.196 9.039 2.609
H 2.131 3.013 5.219
H 5.326 3.013 7.828
H 7.457 -0.753 6.523
H -1.065 3.013 2.609
H 4.261 -3.013 5.219
H 5.326 -3.766 9.133
Lu -5.350 3.191 7.475
Lu 4.829 -1.708 9.464
Lu 2.661 1.543 3.253
Lu -2.140 2.608 6.501
Lu -4.271 8.634 3.937
Lu 2.698 7.723 0.992
Lu 5.303 9.217 2.963
Lu -0.568 7.734 0.974
Lu 0.531 7.569 7.184
Lu -1.041 -3.191 7.475
Lu 7.991 0.576 4.929
Lu -1.563 0.011 8.472
Lu 6.401 3.418 3.937
Lu -4.829 -0.011 8.472
Lu 0.010 3.921 4.227
Lu 1.600 4.483 7.184
Lu 3.220 5.056 4.245
Lu 1.563 -1.697 9.445
Lu -2.661 6.993 8.182
Lu 6.922 -0.967 2.256
Lu -1.600 -0.576 4.929
Lu 5.861 6.602 5.509
Lu 2.140 -2.105 6.211
Lu -1.089 6.996 4.245
Lu 1.563 1.708 9.464
Lu -3.730 5.450 5.509
Lu 5.350 -0.970 6.192
Lu -1.041 4.161 9.155
Lu 6.401 10.739 0.290
Lu -2.140 -4.713 10.147
Lu 7.433 -4.161 9.155
Lu 2.698 4.318 0.974
Lu -3.172 10.187 1.282
Lu 9.611 2.835 2.963
Lu -0.531 0.967 2.256
Lu 9.090 6.037 1.966
Lu -4.251 4.713 10.147
Lu 3.730 -1.543 3.253
Lu 1.041 0.970 6.192
Lu 4.792 5.059 8.182
Lu 5.303 1.865 1.282
Lu 8.532 -2.608 6.501
Lu 8.513 1.313 0.290
Lu 5.824 6.016 1.966
Lu 4.829 1.697 9.445
Lu 2.121 8.131 4.227
Lu -0.568 4.329 0.992
Lu 4.251 2.105 6.211
```